Record 1
{"formula": "TaGaTe6", "functional": "GGA-PBE", "state": "optimized geometry", "dos_ef_per_ev_fu": 3.5, "formation_energy_uncorrected_ev_per_atom": -0.07, "spacegroup": "P-1, No. 2", "lattice_angstrom": [[6.850, -0.155, -0.341], [3.221, 6.032, 0.353], [2.967, 2.428, 6.107]], "species": ["Te", "Te", "Te", "Te", "Te", "Te", "Ta", "Ga"], "frac_coords": [[0.406, 0.681, 0.793], [0.934, 0.515, 0.329], [0.594, 0.319, 0.207], [0.066, 0.485, 0.671], [0.677, 0.025, 0.802], [0.323, 0.975, 0.198], [0.500, 0.500, 0.500], [0.000, 0.000, 0.000]]}

=====

Record 2
{"formula": "TaGaTe2", "functional": "GGA-PBE", "state": "optimized geometry", "dos_ef_per_ev_fu": 4.2, "formation_energy_uncorrected_ev_per_atom": 0.64, "spacegroup": "R-3m, No. 166", "lattice_angstrom": [[2.153, 0.000, 8.868], [-1.076, 1.865, 8.868], [-1.076, -1.865, 8.868]], "species": ["Ta", "Ga", "Te", "Te"], "frac_coords": [[0.000, 0.000, 0.000], [0.500, 0.500, 0.500], [0.900, 0.900, 0.900], [0.100, 0.100, 0.100]]}

=====

Record 3
{"formula": "TaGaTe3", "functional": "GGA-PBE", "state": "optimized geometry", "dos_ef_per_ev_fu": 2.7, "de_polymorph_ev_per_atom": 0.1482, "formation_energy_uncorrected_ev_per_atom": 0.14, "spacegroup": "Pm-3m, No. 221", "lattice_angstrom": [[-1.904, 4.331, -2.731], [-5.001, -0.947, 1.985], [1.100, 3.191, 4.295]], "species": ["Te", "Te", "Te", "Ta", "Ga"], "frac_coords": [[0.000, 0.500, 0.000], [0.500, 0.000, 0.000], [0.000, 0.000, 0.500], [0.000, 0.000, 0.000], [0.500, 0.500, 0.500]]}

=====

Record 4
{"formula": "TaGaTe4", "functional": "GGA-PBE", "state": "optimized geometry", "dos_ef_per_ev_fu": 0.2, "formation_energy_uncorrected_ev_per_atom": -0.11, "spacegroup": "I-4, No. 82", "lattice_angstrom": [[-2.805, 3.230, -4.569], [-5.589, -1.385, 2.452], [4.429, 3.821, 4.269]], "species": ["Te", "Te", "Te", "Te", "Ta", "Ga"], "frac_coords": [[0.366, 0.870, 0.244], [0.878, 0.374, 0.244], [0.130, 0.122, 0.756], [0.626, 0.634, 0.756], [0.500, 0.500, 0.000], [0.750, 0.250, 0.500]]}

=====

Record 5
{"formula": "TaGaTe3", "functional": "GGA-PBE", "state": "optimized geometry", "dos_ef_per_ev_fu": 1.0, "de_polymorph_ev_per_atom": 0.0000, "formation_energy_uncorrected_ev_per_atom": -0.01, "spacegroup": "C2/m, No. 12", "lattice_angstrom": [[-1.938, 3.838, 0.436], [-1.879, -4.044, 5.835], [9.991, 4.408, 5.604]], "species": ["Te", "Te", "Te", "Te", "Te", "Te", "Ta", "Ta", "Ga", "Ga"], "frac_coords": [[0.635, 0.270, 0.409], [0.850, 0.700, 0.905], [0.101, 0.201, 0.735], [0.899, 0.799, 0.265], [0.150, 0.300, 0.095], [0.365, 0.730, 0.591], [0.916, 0.833, 0.711], [0.084, 0.167, 0.289], [0.635, 0.270, 0.905], [0.365, 0.730, 0.095]]}

=====

Record 6
{"formula": "ThTaGa", "functional": "GGA-PBE", "state": "optimized geometry", "dos_ef_per_ev_fu": 3.2, "spacegroup": "I4/mmm, No. 139", "formation_enthalpy_0k_kj_per_mol_fu": -72, "lattice_angstrom": [[-1.893, -1.495, -3.262], [3.531, -0.122, -1.993], [0.492, -6.953, 5.425]], "species": ["Ta", "Ta", "Th", "Th", "Ga", "Ga"], "frac_coords": [[0.000, 0.500, 0.000], [0.500, 0.000, 0.000], [0.678, 0.678, 0.356], [0.322, 0.322, 0.644], [0.117, 0.117, 0.233], [0.883, 0.883, 0.767]]}

=====

Taking the records one at a time from the top gives mass density values of 6.68 7.87 6.45 5.63 5.66 11.66 Mg/m³.